The following is a PBE with a Hubbard U calculation of a relaxed CaScMoO6 crystal, from Alexandria via LeMat-Bulk.

magnetic moment = 1.02 μB per formula unit
E_tot = -131.564 eV per cell

abc: 4.958 4.958 9.737
angles: 90.00 90.00 90.00
Space group P4_2nm (No. 102)
Symmetry-distinct sites (fractional):
Ca 0.000 0.000 0.000 [2 per cell]
Sc 0.000 0.000 0.337 [2 per cell]
Mo 0.000 0.000 0.663 [2 per cell]
O 0.178 0.178 0.513 [4 per cell]
O 0.202 0.202 0.803 [4 per cell]
O 0.225 0.225 0.187 [4 per cell]